Record 1
The following is a DFT calculation (PBE) of an optimized crystal structure of Tm5Pd3.

Unit cell a=8.3947 b=8.3947 c=6.1064 alpha=90.00 beta=90.00 gamma=120.00
Closest atoms and distances in Å follow each position.
Space group P6_3/mcm (No. 193)
One atom of each set of equivalent atoms:
Tm  0.0000  0.2426  0.2500 (multiplicity 6)  3 Pd 2.92-3.02
Tm  0.3333  0.6667  0.0000 (multiplicity 4)  6 Pd 2.99, 2 Tm 3.05
Pd  0.0000  0.3981  0.7500 (multiplicity 6)  7 Tm 2.92-3.02

Summary:
Calculated formation energy (eV per atom): -0.729
Crystal system: hexagonal
Energy (eV/atom): -5.47


Record 2
The following is a DFT calculation (PBE) of an optimized crystal structure of TlIr2Os.

Unit cell a=4.0467 b=4.0467 c=7.8811 alpha=90.00 beta=90.00 gamma=90.00
Closest atoms and distances in Å follow each position.
Space group I-4m2 (No. 119)
One atom of each set of equivalent atoms:
Tl  0.0000  0.0000  0.0000 (multiplicity 2)  4 Os 2.82, 8 Ir 2.82-2.86
Ir  0.0000  0.0000  0.5000 (multiplicity 2)  4 Os 2.82, 4 Ir 2.82, 4 Tl 2.86
Ir  0.0000  0.5000  0.7500 (multiplicity 2)  4 Tl 2.82, 4 Ir 2.82, 4 Os 2.86
Os  0.0000  0.5000  0.2500 (multiplicity 2)  4 Tl 2.82, 8 Ir 2.82-2.86

Summary:
Calculated formation energy (eV per atom): 0.643
Crystal system: tetragonal
Distance to the lowest polymorph of the same formula (meV/atom): 272
Energy (eV/atom): -7.19